1.
Entry from Alexandria: a relaxed structure of Mn4PdRh3 (PBE-GGA).

Summary:
- M_tot: 34.48 Bohr magnetons per cell
- Crystal system: tetragonal
- ΔE_f: -0.175 eV per atom

```
16
Lattice="4.338 0.000 0.000 0.000 6.098 0.000 0.000 0.000 8.674" Properties=species:S:1:pos:R:3 pbc="T T T"
Mn 2.169 4.598 0.000
Mn 2.169 4.598 4.337
Mn 2.169 1.500 0.000
Mn 2.169 1.500 4.337
Mn 4.337 4.598 6.506
Mn 0.001 4.598 2.169
Mn 0.001 1.500 2.169
Mn 4.337 1.500 6.506
Rh 0.000 0.000 0.000
Rh 0.000 0.000 4.337
Rh 2.168 0.000 6.506
Rh 2.171 0.000 2.169
Rh 2.168 3.049 6.506
Rh 2.170 3.049 2.169
Pd 0.000 3.049 0.000
Pd 0.000 3.049 4.337
```


2.
Entry from Alexandria: a relaxed structure of MnPd6Rh (PBE-GGA).

Summary:
- M_tot: 3.33 Bohr magnetons per cell
- Crystal system: monoclinic
- ΔE_f: -0.064 eV per atom

```
8
Lattice="3.791 0.000 1.035 1.744 4.348 1.072 0.036 -0.083 7.330" Properties=species:S:1:pos:R:3 pbc="T T T"
Mn 0.000 0.000 0.000
Pd 2.493 3.757 5.788
Pd 2.357 1.027 6.288
Pd 1.607 1.619 1.575
Pd 3.214 3.238 3.149
Pd 3.077 0.508 3.648
Pd 3.963 2.646 7.862
Rh 0.890 2.133 4.201
```


3.
Entry from Alexandria: a relaxed structure of Mn2Pd2Rh (PBE-GGA).

Summary:
- M_tot: 0.00 Bohr magnetons per cell
- Crystal system: tetragonal
- ΔE_f: 0.458 eV per atom

```
5
Lattice="-1.954 -0.997 -2.158 -1.114 -2.084 1.971 -6.693 3.454 2.271" Properties=species:S:1:pos:R:3 pbc="T T T"
Mn -5.090 0.459 0.010
Mn -4.670 -0.085 2.074
Rh 0.000 0.000 0.000
Pd -2.676 -0.435 0.430
Pd -7.085 0.808 1.654
```


4.
Entry from Alexandria: a relaxed structure of Mn4Pd7Rh (PBE-GGA).

Summary:
- M_tot: 18.62 Bohr magnetons per cell
- Crystal system: triclinic
- ΔE_f: -0.143 eV per atom

```
12
Lattice="4.690 -0.646 2.771 1.312 6.796 2.151 2.324 0.043 6.989" Properties=species:S:1:pos:R:3 pbc="T T T"
Mn 4.215 1.905 6.787
Mn 4.111 4.288 5.124
Mn 6.347 4.134 9.246
Mn 1.979 2.059 2.665
Pd 4.674 -0.452 5.557
Pd 3.652 6.646 6.354
Pd 1.725 4.476 3.716
Pd 6.601 1.718 8.195
Pd 3.999 4.328 7.885
Pd 2.345 -0.323 1.386
Pd 4.327 1.865 4.026
Rh 0.000 0.000 0.000
```


5.
Entry from Alexandria: a relaxed structure of Mn3PdRh (PBE-GGA).

Summary:
- M_tot: 13.60 Bohr magnetons per cell
- Crystal system: cubic
- ΔE_f: 0.915 eV per atom

```
5
Lattice="-1.462 3.789 -2.410 -3.993 -2.257 -1.126 -2.055 1.689 3.902" Properties=species:S:1:pos:R:3 pbc="T T T"
Mn -1.996 -1.128 -0.563
Mn -1.028 0.844 1.951
Mn -0.731 1.895 -1.205
Rh 0.000 0.000 0.000
Pd -3.755 1.611 0.183
```


6.
Entry from Alexandria: a relaxed structure of Mn2Pd8Rh (PBE-GGA).

Summary:
- M_tot: 7.86 Bohr magnetons per cell
- Crystal system: orthorhombic
- ΔE_f: -0.035 eV per atom

```
11
Lattice="3.945 0.000 -1.201 -1.036 5.991 -3.402 0.037 0.046 7.202" Properties=species:S:1:pos:R:3 pbc="T T T"
Mn 0.058 4.169 0.190
Mn 2.888 1.867 2.409
Pd 1.691 5.273 -1.524
Pd 0.796 3.418 2.615
Pd 0.455 0.927 1.493
Pd -0.311 1.801 -1.023
Pd 2.492 5.110 1.105
Pd 2.150 2.618 -0.016
Pd 1.255 0.763 4.123
Pd 3.257 4.236 3.621
Rh 1.973 0.000 -0.600
```


7.
Entry from Alexandria: a relaxed structure of MnPdRh2 (PBE-GGA).

Summary:
- M_tot: 2.99 Bohr magnetons per cell
- Crystal system: cubic
- ΔE_f: 0.074 eV per atom

```
4
Lattice="1.098 -3.570 2.237 -2.048 -3.765 -0.766 2.099 -3.255 -1.988" Properties=species:S:1:pos:R:3 pbc="T T T"
Mn 0.000 0.000 0.000
Rh 0.287 -2.647 -0.129
Rh 0.862 -7.942 -0.388
Pd 0.575 -5.295 -0.259
```


8.
Entry from Alexandria: a relaxed structure of MnPd3Rh (PBE-GGA).

Summary:
- M_tot: 0.00 Bohr magnetons per cell
- Crystal system: cubic
- ΔE_f: 1.143 eV per atom

```
5
Lattice="4.466 0.000 0.000 0.000 4.466 0.000 0.000 0.000 4.466" Properties=species:S:1:pos:R:3 pbc="T T T"
Mn 0.000 0.000 0.000
Rh 2.233 2.233 2.233
Pd 0.000 2.233 0.000
Pd 0.000 0.000 2.233
Pd 2.233 0.000 0.000
```


Question: What is the M_tot in the fifth record?
Answer: 13.60 Bohr magnetons per cell